# TmIn3Pd2

An optimized crystal structure of TmIn3Pd2 (PBE, Alexandria).

Computed properties:
- calculated formation energy (eV/atom) = -0.578
- space group = Pmc2_1, No. 26
- density (g cm⁻³) = 9.45
- total DFT energy (no corrections) (eV/atom) = -4.42

Lattice parameters (Å, degrees): 3.998 7.392 8.632 90.00 90.00 90.00
Sites, in units of the cell vectors:
Pd1 0.500 0.260 0.108
Pd2 0.500 0.760 0.892
Pd3 0.000 0.245 0.614
Pd4 0.000 0.745 0.386
Tm1 0.500 0.532 0.579
Tm2 0.500 0.032 0.421
In1 0.000 0.357 0.312
In2 0.500 0.134 0.813
In3 0.000 0.472 0.904
In4 0.500 0.634 0.187
In5 0.000 0.857 0.688
In6 0.000 0.972 0.096

---

# TmInPd

An optimized crystal structure of TmInPd (PBE, Alexandria).

Computed properties:
- calculated formation energy (eV/atom) = -0.660
- space group = F-43m, No. 216
- density (g cm⁻³) = 8.93
- total DFT energy (no corrections) (eV/atom) = -4.79

Lattice parameters (Å, degrees): 4.682 4.682 4.682 60.00 60.00 60.00
Sites, in units of the cell vectors:
Pd1 0.250 0.250 0.250
Tm1 0.000 0.000 0.000
In1 0.500 0.500 0.500

---

# TmIn2Pd8

An optimized crystal structure of TmIn2Pd8 (PBE, Alexandria).

Computed properties:
- energy above the most stable polymorph in this dataset (meV per atom) = 16
- calculated formation energy (eV/atom) = -0.555
- space group = Immm, No. 71
- density (g cm⁻³) = 10.66
- total DFT energy (no corrections) (eV/atom) = -5.24

Lattice parameters (Å, degrees): 4.168 7.429 7.596 119.27 105.92 90.00
Sites, in units of the cell vectors:
Pd1 0.666 0.429 0.331
Pd2 0.334 0.571 0.669
Pd3 0.666 0.903 0.331
Pd4 0.844 0.844 0.688
Pd5 0.156 0.156 0.312
Pd6 0.000 0.720 0.000
Pd7 0.000 0.280 0.000
Pd8 0.334 0.097 0.669
Tm1 0.500 0.000 0.000
In1 0.176 0.676 0.351
In2 0.824 0.324 0.649